# 1
Computed, not measured: a relaxed structure of Pm2PrNd7 at the GGA-PBE level of DFT.

Output
SG = Cmmm
Raw total energy = -44.0 eV per formula unit
V = 370.8 Å³ per cell

a b c (Å): 10.5171 10.5171 3.5507
angles (deg): 90.00 90.00 109.25
Sites, in units of the cell vectors:
Pm 0.1709 0.8291 0.0000
Pm 0.8291 0.1709 0.0000
Pr 0.0000 0.0000 0.5000
Nd 0.1274 0.3861 0.0000
Nd 0.3245 0.6755 0.5000
Nd 0.3861 0.1274 0.0000
Nd 0.5000 0.5000 0.0000
Nd 0.6139 0.8726 0.0000
Nd 0.6755 0.3245 0.5000
Nd 0.8726 0.6139 0.0000


# 2
Computed, not measured: a relaxed structure of PmPr12Nd6 at the GGA-PBE level of DFT.

Output
SG = R-3
Raw total energy = -90.5 eV per formula unit
V = 682.7 Å³ per cell

a b c (Å): 9.7957 9.7957 9.7957
angles (deg): 110.90 110.90 110.90
Sites, in units of the cell vectors:
Pm 0.0000 0.0000 0.0000
Pr 0.1053 0.1582 0.7371
Pr 0.1582 0.7371 0.1053
Pr 0.2103 0.3158 0.4734
Pr 0.2629 0.8947 0.8418
Pr 0.3158 0.4734 0.2103
Pr 0.4734 0.2103 0.3158
Pr 0.5266 0.7897 0.6842
Pr 0.6842 0.5266 0.7897
Pr 0.7371 0.1053 0.1582
Pr 0.7897 0.6842 0.5266
Pr 0.8418 0.2629 0.8947
Pr 0.8947 0.8418 0.2629
Nd 0.0525 0.5794 0.3685
Nd 0.3685 0.0525 0.5794
Nd 0.4206 0.6315 0.9475
Nd 0.5794 0.3685 0.0525
Nd 0.6315 0.9475 0.4206
Nd 0.9475 0.4206 0.6315


# 3
Computed, not measured: a relaxed structure of Pm5PrNd at the GGA-PBE level of DFT.

Output
SG = Imm2
Raw total energy = -27.4 eV per formula unit
V = 301.7 Å³ per cell

a b c (Å): 7.8246 7.8246 7.8246
angles (deg): 118.04 81.81 132.25
Sites, in units of the cell vectors:
Pm 0.0000 0.0000 0.0000
Pm 0.0135 0.2628 0.7507
Pm 0.2629 0.5835 0.3206
Pm 0.2629 0.9423 0.6794
Pm 0.5121 0.2628 0.2493
Pr 0.5333 0.5333 0.0000
Nd 0.7638 0.2638 0.5000


# 4
Computed, not measured: a relaxed structure of Pm4PrNd7 at the GGA-PBE level of DFT.

Output
SG = C2/m
Raw total energy = -54.8 eV per formula unit
V = 428.8 Å³ per cell

a b c (Å): 8.7518 8.7518 9.5035
angles (deg): 114.19 114.19 40.92
Sites, in units of the cell vectors:
Pm 0.0733 0.0733 0.1977
Pm 0.1722 0.1722 0.8880
Pm 0.8278 0.8278 0.1120
Pm 0.9267 0.9267 0.8023
Pr 0.5000 0.5000 0.5000
Nd 0.0000 0.0000 0.5000
Nd 0.2870 0.2870 0.6214
Nd 0.2907 0.2907 0.2713
Nd 0.4169 0.4169 0.0571
Nd 0.5831 0.5831 0.9429
Nd 0.7093 0.7093 0.7287
Nd 0.7130 0.7130 0.3786


no.,excess energy over the best structure of this formula in the dataset (eV/atom),magnetization (Bohr magnetons per cell)
1,0.000,0.0
2,0.000,0.0
3,0.688,0.0
4,0.185,0.5